The following is a DFT calculation (GGA+U) of crystalline LiMg2Mn3O8 at its relaxed geometry.

Values from the calculation:
Its final energy is -6.7113 eV per atom. The space group is No. 160.

Lattice parameters (Å, degrees): 5.957 5.957 5.957 60.06 60.06 60.06
Site moments in Bohr magnetons follow the coordinates.
Atoms (fractional coordinates):
1 Li 0.884 0.884 0.884  0.01
2 O 0.741 0.741 0.741  -0.14
3 O 0.255 0.255 0.709  -0.07
4 Mn 0.501 0.996 0.501  3.54
5 O 0.255 0.709 0.255  -0.07
6 Mg 0.117 0.117 0.117  0.01
7 O 0.709 0.255 0.255  -0.07
8 Mg 0.500 0.500 0.500  0.01
9 O 0.745 0.745 0.293  -0.10
10 Mn 0.501 0.501 0.996  3.54
11 O 0.745 0.293 0.745  -0.10
12 O 0.257 0.257 0.257  -0.10
13 O 0.293 0.745 0.745  -0.10
14 Mn 0.996 0.501 0.501  3.54